A geometry-optimized TaBe10Ni structure. Source: Alexandria, functional GGA-PBE.

Cell and atoms, written as POSCAR:
```
TaBe10Ni
1.0
3.452 0.000 0.000
0.000 4.227 0.000
0.000 0.000 7.460
Ta Be Ni
1 10 1
Direct
0.000 0.500 0.500
0.000 0.000 0.310
0.000 0.500 0.844
0.000 0.500 0.156
0.000 0.000 0.690
0.500 0.000 0.500
0.500 0.500 0.000
0.500 0.258 0.251
0.500 0.742 0.749
0.500 0.742 0.251
0.500 0.258 0.749
0.000 0.000 0.000
```

Summary:
Crystal system   orthorhombic
Total energy   -4.708 eV/atom
Total moment   0.0 μB per formula unit
Space-group type   Pmmm
ΔE_f   -0.133 eV per atom
D(E_F)   0.2886 states/eV per atom